No. 1
This record from Alexandria describes a geometry-optimized PrZn8Cu2 structure. The functional is PBE.

Cell: 5.220 5.220 8.612 Å, 90.00 90.00 90.00°
Atoms (fractional coordinates):
1 Pr 0.500 0.500 0.500
2 Zn 0.752 0.752 0.204
3 Zn 0.752 0.248 0.796
4 Zn 0.752 0.752 0.796
5 Zn 0.752 0.248 0.204
6 Zn 0.248 0.752 0.204
7 Zn 0.248 0.752 0.796
8 Zn 0.248 0.248 0.204
9 Zn 0.248 0.248 0.796
10 Cu 0.500 0.000 0.000
11 Cu 0.000 0.500 0.000

## Properties
Calculated density (Mg/m³): 5.598
Calculated formation energy (eV per formula unit): 2.2
DOS at the Fermi energy (states/eV/f.u.): 5.508
DFT total energy (eV per atom): -1.907

No. 2
This record from Alexandria describes a geometry-optimized Pr3Zn4Cu2 structure. The functional is PBE.

Cell: 4.507 5.840 8.576 Å, 70.82 74.77 67.30°
Atoms (fractional coordinates):
1 Pr 0.327 0.688 0.658
2 Pr 0.000 0.000 0.000
3 Pr 0.673 0.312 0.342
4 Zn 0.275 0.388 0.062
5 Zn 0.725 0.612 0.938
6 Zn 0.041 0.292 0.625
7 Zn 0.959 0.708 0.375
8 Cu 0.399 0.932 0.270
9 Cu 0.601 0.068 0.730

## Properties
Calculated density (Mg/m³): 6.937
Calculated formation energy (eV per formula unit): -2.5
Relative energy among the computed polymorphs (eV/f.u.): 0.00
DOS at the Fermi energy (states/eV/f.u.): 8.026
DFT total energy (eV per atom): -3.350

Q: Which value of DOS at the Fermi energy does entry 2 give?
A: 8.026 states/eV/f.u.